Compound: ReNiH2N
Source: Alexandria via LeMat-Bulk
Functional: PBE-GGA
Structure: relaxed

```
ReNiH2N
1.0
2.976 0.000 0.000
0.000 4.718 0.000
0.000 0.000 2.976
Re N H Ni
1 1 2 1
direct
0.500 0.500 0.500
0.000 0.500 0.000
0.000 0.000 0.500
0.500 0.000 0.000
0.000 0.000 0.000
```

E_tot in eV/cell: -29.67
Spin magnetization in μB per atom: 0.00

Compound: Ni6HRh2N
Source: Alexandria via LeMat-Bulk
Functional: PBE-GGA
Structure: relaxed

```
Ni6HRh2N
1.0
5.270 -0.006 0.002
-0.006 5.270 0.002
2.633 2.633 3.703
Ni H Rh N
6 1 2 1
direct
0.246 0.246 0.508
0.753 0.753 0.000
0.248 0.752 0.000
0.752 0.248 0.000
0.247 0.247 0.000
0.754 0.754 0.492
0.000 0.000 0.000
0.750 0.250 0.500
0.250 0.750 0.500
0.500 0.500 0.000
```

E_tot in eV/cell: -59.86
Spin magnetization in μB per atom: 0.01

Compound: NiHSe2N
Source: Alexandria via LeMat-Bulk
Functional: PBE-GGA
Structure: relaxed

```
NiHSe2N
1.0
4.975 0.000 0.000
0.000 4.975 0.000
0.000 0.000 3.335
Ni H Se N
1 1 2 1
direct
0.000 0.000 0.000
0.500 0.500 0.500
0.000 0.500 0.000
0.500 0.000 0.000
0.000 0.000 0.500
```

Distance to the lowest polymorph of the same formula in eV/atom: 0.089
E_tot in eV/cell: -19.21
Spin magnetization in μB per atom: 0.08

Compound: NiHSe2N
Source: Alexandria via LeMat-Bulk
Functional: PBE-GGA
Structure: relaxed

```
NiHSe2N
1.0
-2.986 -0.442 3.642
-2.508 -3.182 -2.442
1.499 -1.943 0.993
Ni H Se N
1 1 2 1
direct
0.500 0.500 0.500
0.000 0.000 0.000
0.000 0.500 0.000
0.500 0.000 0.000
0.000 0.000 0.500
```

Distance to the lowest polymorph of the same formula in eV/atom: 0.000
E_tot in eV/cell: -19.65
Spin magnetization in μB per atom: 0.00

Compound: Sr2NiHN
Source: Alexandria via LeMat-Bulk
Functional: PBE-GGA
Structure: relaxed

```
Sr2NiHN
1.0
-0.276 2.978 -4.295
-5.151 0.573 0.728
0.606 2.922 1.987
Sr N H Ni
2 1 1 1
direct
0.000 0.500 0.000
0.500 0.000 0.000
0.000 0.000 0.000
0.500 0.500 0.500
0.000 0.000 0.500
```

E_tot in eV/cell: -22.64
Spin magnetization in μB per atom: 0.00

Compound: NiTe2HN
Source: Alexandria via LeMat-Bulk
Functional: PBE-GGA
Structure: relaxed

```
NiTe2HN
1.0
5.310 0.000 0.000
0.000 5.310 0.000
0.000 0.000 3.354
Ni Te H N
1 2 1 1
direct
0.000 0.000 0.000
0.000 0.500 0.000
0.500 0.000 0.000
0.500 0.500 0.500
0.000 0.000 0.500
```

Distance to the lowest polymorph of the same formula in eV/atom: 0.000
E_tot in eV/cell: -19.52
Spin magnetization in μB per atom: 0.05

Compound: NiTe2HN
Source: Alexandria via LeMat-Bulk
Functional: PBE-GGA
Structure: relaxed

```
NiTe2HN
1.0
-2.559 1.540 -4.024
-4.177 -2.035 1.877
-0.601 2.452 1.321
Ni Te H N
1 2 1 1
direct
0.500 0.500 0.500
0.000 0.500 0.000
0.500 0.000 0.000
0.000 0.000 0.000
0.000 0.000 0.500
```

Distance to the lowest polymorph of the same formula in eV/atom: 0.100
E_tot in eV/cell: -19.02
Spin magnetization in μB per atom: 0.00

Compound: NiTeHN2
Source: Alexandria via LeMat-Bulk
Functional: PBE-GGA
Structure: relaxed

```
NiTeHN2
1.0
-2.645 -2.288 0.596
1.737 -2.487 -1.840
2.510 -1.689 4.651
Ni Te H N
1 1 1 2
direct
0.000 0.000 0.000
0.000 0.000 0.500
0.500 0.500 0.500
0.000 0.500 0.000
0.500 0.000 0.000
```

Distance to the lowest polymorph of the same formula in eV/atom: 0.000
E_tot in eV/cell: -21.76
Spin magnetization in μB per atom: 0.26